11
Lattice="7.376 0.122 -1.208 -2.321 8.087 -3.282 -0.170 -0.034 9.029" Properties=species:S:1:pos:R:3 comment="Ba8Zn2Ag, relaxed, DFT PBE-GGA" ef_kj_per_mol_fu=-47 spacegroup=Cm de_polymorph_ev_per_fu=0.29 pbc="T T T"
Ba 4.106 0.656 2.130
Ba 5.313 6.509 -1.889
Ba 4.240 5.337 2.780
Ba 0.423 7.562 2.431
Ba 3.530 2.829 -1.164
Ba 6.566 1.779 5.281
Ba 1.015 5.327 5.820
Ba 0.392 2.923 1.859
Zn 1.959 5.617 0.048
Zn 2.749 2.633 4.572
Ag 1.418 0.101 -0.181